[1]
The following is a DFT calculation (PBE-GGA) of an optimized crystal structure of Pm3Y2Sc. Values from VASP.

Quantum ESPRESSO input file:
```
&SYSTEM
  ibrav = 0, nat = 12, ntyp = 3
/
ATOMIC_SPECIES
Pm 145.00 Pm.upf
Y 88.91 Y.upf
Sc 44.96 Sc.upf
ATOMIC_POSITIONS angstrom
Pm -3.9870 9.5389 4.2754
Pm 4.6574 -0.6321 0.6217
Pm 0.9938 5.9851 4.3916
Pm -1.3792 3.3324 3.9179
Pm 2.0495 5.5744 0.9792
Pm -0.3234 2.9217 0.5055
Y -1.4232 6.1889 1.7261
Y -2.4765 6.4694 5.1242
Y 3.1469 2.4374 -0.2271
Y 2.0935 2.7179 3.1711
Sc 1.2080 -0.0883 1.3396
Sc -0.5377 8.9951 3.5575
CELL_PARAMETERS angstrom
6.9252 -1.0801 -1.4559
-4.1378 9.2839 -0.4624
-2.1171 0.7030 6.8154
```

Computed properties:
Calculated total energy, eV per cell: -66.63
Distance to the lowest polymorph of the same formula, meV per atom: 0
Formation energy, eV per atom: 0.0329
Total magnetic moment, Bohr magnetons per cell: 0.0
Symmetry: P-1
Fermi-level density of states, states/eV per atom: 1.406

***

[2]
The following is a DFT calculation (PBE-GGA) of an optimized crystal structure of ZnSiAg2. Values from VASP.

Quantum ESPRESSO input file:
```
&SYSTEM
  ibrav = 0, nat = 4, ntyp = 3
/
ATOMIC_SPECIES
Ag 107.87 Ag.upf
Si 28.09 Si.upf
Zn 65.41 Zn.upf
ATOMIC_POSITIONS angstrom
Ag 0.0000 0.0000 0.0000
Ag -2.7082 0.2029 -0.9487
Si -1.9545 2.0376 -3.0323
Zn -1.2953 2.5533 -0.2801
CELL_PARAMETERS angstrom
-0.5416 4.3879 -2.3637
-3.3674 -0.3128 -3.7010
-0.0945 -1.3189 4.8359
```

Computed properties:
Calculated total energy, eV per cell: -11.67
Distance to the lowest polymorph of the same formula, meV per atom: 54
Total magnetic moment, Bohr magnetons per cell: 0.0
Formation energy from raw total energies, eV/atom: 0.182
Symmetry: I-4m2
Fermi-level density of states, states/eV per atom: 0.317

***

[3]
The following is a DFT calculation (PBE-GGA) of an optimized crystal structure of BeC2. Values from VASP.

Quantum ESPRESSO input file:
```
&SYSTEM
  ibrav = 0, nat = 6, ntyp = 2
/
ATOMIC_SPECIES
Be 9.01 Be.upf
C 12.01 C.upf
ATOMIC_POSITIONS angstrom
Be 0.0000 0.0000 1.0524
Be 0.0000 0.0000 3.1572
C -0.4762 1.8983 2.1048
C 2.8506 0.4762 0.0000
C 0.4762 1.8983 0.0000
C 1.8983 0.4762 2.1048
CELL_PARAMETERS angstrom
-2.3745 2.3745 2.1048
2.3745 -2.3745 2.1048
2.3745 2.3745 -2.1048
```

Computed properties:
Calculated total energy, eV per cell: -33.73
Distance to the lowest polymorph of the same formula, meV per atom: 1383
Formation energy, eV per atom: 1.7693
Total magnetic moment, Bohr magnetons per cell: 0.0
Symmetry: I4/mcm
Fermi-level density of states, states/eV per atom: 0.247

***

[4]
The following is a DFT calculation (PBE-GGA) of an optimized crystal structure of Zr3RhI. Values from VASP.

Quantum ESPRESSO input file:
```
&SYSTEM
  ibrav = 0, nat = 5, ntyp = 3
/
ATOMIC_SPECIES
I 126.90 I.upf
Rh 102.91 Rh.upf
Zr 91.22 Zr.upf
ATOMIC_POSITIONS angstrom
I -2.6876 -2.5268 -2.4433
Rh 0.0000 0.0000 0.0000
Zr 0.6709 -2.1751 -1.1595
Zr -2.1460 -1.1066 0.8341
Zr -1.2125 0.7550 -2.1179
CELL_PARAMETERS angstrom
-2.4251 1.5100 -4.2358
1.3419 -4.3503 -2.3190
-4.2921 -2.2132 1.6683
```

Computed properties:
Calculated total energy, eV per cell: -33.45
Distance to the lowest polymorph of the same formula, meV per atom: 0
Total magnetic moment, Bohr magnetons per cell: 0.0
Formation energy from raw total energies, eV/atom: 0.219
Symmetry: Pm-3m
Fermi-level density of states, states/eV per atom: 1.700

***

Question: Which of these has the lowest Fermi-level density of states?
Answer: BeC2

***

Question: Among the records above, which one has the highest distance to the lowest polymorph of the same formula?
Answer: BeC2

***

Question: What is the Fermi-level density of states in the second record?
Answer: 0.317 states/eV per atom